No. 1
The following is a DFT calculation (PBEsol) of a relaxed Te2WAu crystal.

## Properties
ΔE_f (raw) = 3.49 eV/f.u.
Distance to the lowest polymorph of the same formula = 0.521 eV per atom

abc: 4.1134 4.1134 5.6007
angles: 111.54 111.54 90.00
Fractional positions:
Au: 0.2500 0.7500 0.5000
Te: 0.0000 0.0000 0.0000
Te: 0.7500 0.2500 0.5000
W: 0.5000 0.5000 0.0000


No. 2
The following is a DFT calculation (PBEsol) of a relaxed TeWAu crystal.

## Properties
ΔE_f (raw) = 1.62 eV/f.u.
Distance to the lowest polymorph of the same formula = 0.000 eV per atom

abc: 3.1208 3.1208 6.6023
angles: 103.67 103.67 90.00
Fractional positions:
Au: 0.9714 0.9714 0.9428
Te: 0.6967 0.6967 0.3935
W: 0.3318 0.3318 0.6637


No. 3
The following is a DFT calculation (PBEsol) of a relaxed Te2WAu crystal.

## Properties
ΔE_f (raw) = 1.68 eV/f.u.
Distance to the lowest polymorph of the same formula = 0.068 eV per atom

abc: 3.4602 3.4602 7.4807
angles: 90.00 90.00 90.00
Fractional positions:
Au: 0.5000 0.5000 0.7328
Te: 0.0000 0.0000 0.9094
Te: 0.5000 0.5000 0.3257
W: 0.0000 0.0000 0.5321


No. 4
The following is a DFT calculation (PBEsol) of a relaxed TeWAu crystal.

## Properties
ΔE_f (raw) = 2.01 eV/f.u.
Distance to the lowest polymorph of the same formula = 0.132 eV per atom

abc: 4.4726 4.4726 4.4726
angles: 60.00 60.00 60.00
Fractional positions:
Au: 0.0000 0.0000 0.0000
Te: 0.5000 0.5000 0.5000
W: 0.2500 0.2500 0.2500


No. 5
The following is a DFT calculation (PBEsol) of a relaxed Te2WAu crystal.

## Properties
ΔE_f (raw) = 1.41 eV/f.u.
Distance to the lowest polymorph of the same formula = 0.000 eV per atom

abc: 3.2598 3.2598 10.0686
angles: 80.68 80.68 60.00
Fractional positions:
Au: 0.2404 0.2404 0.2789
Te: 0.9827 0.9827 0.0518
Te: 0.7727 0.7727 0.6819
W: 0.5042 0.5042 0.4874


No. 6
The following is a DFT calculation (PBEsol) of a relaxed TeW2Au crystal.

## Properties
ΔE_f (raw) = 3.27 eV/f.u.

abc: 3.2427 4.6409 5.4576
angles: 115.16 107.28 90.00
Fractional positions:
Au: 0.0000 0.5000 0.0000
Te: 0.5000 0.0000 0.0000
W: 0.7632 0.7632 0.5263
W: 0.2368 0.2368 0.4737


Please write out number 1 again, unchanged.
The following is a DFT calculation (PBEsol) of a relaxed Te2WAu crystal.

## Properties
ΔE_f (raw) = 3.49 eV/f.u.
Distance to the lowest polymorph of the same formula = 0.521 eV per atom

abc: 4.1134 4.1134 5.6007
angles: 111.54 111.54 90.00
Fractional positions:
Au: 0.2500 0.7500 0.5000
Te: 0.0000 0.0000 0.0000
Te: 0.7500 0.2500 0.5000
W: 0.5000 0.5000 0.0000


Q: What is the ΔE_f (raw) in the first record?
A: 3.49 eV/f.u.


Q: What is the formula in the third record?
A: Te2WAu